(1)
BaTe2Pb: relaxed, PBE.

## Properties
VASP energy: -16.10 eV per cell
space-group type: Cm
total magnetic moment: 0.00 μB/cell

CIF file:
```
data_BaTe2Pb
_space_group_name_H-M_alt 'P 1'
_space_group_IT_number 1
_cell_length_a 6.973
_cell_length_b 6.973
_cell_length_c 5.119
_cell_angle_alpha 90.52
_cell_angle_beta 90.52
_cell_angle_gamma 38.53
loop_
_space_group_symop_operation_xyz
'x,y,z'
loop_
_atom_site_label
_atom_site_fract_x
_atom_site_fract_y
_atom_site_fract_z
_atom_site_occupancy
Ba1 0.000 0.000 0.000 1
Te1 0.467 0.467 0.499 1
Te2 0.726 0.726 0.023 1
Pb1 0.243 0.243 0.463 1
```

=====

(2)
BaTe2Pb: relaxed, PBE.

## Properties
VASP energy: -16.17 eV per cell
space-group type: Pm
total magnetic moment: 0.00 μB/cell

CIF file:
```
data_BaTe2Pb
_space_group_name_H-M_alt 'P 1'
_space_group_IT_number 1
_cell_length_a 4.809
_cell_length_b 6.850
_cell_length_c 4.964
_cell_angle_alpha 90.00
_cell_angle_beta 90.00
_cell_angle_gamma 90.00
loop_
_space_group_symop_operation_xyz
'x,y,z'
loop_
_atom_site_label
_atom_site_fract_x
_atom_site_fract_y
_atom_site_fract_z
_atom_site_occupancy
Ba1 0.000 0.000 0.000 1
Te1 0.002 0.500 0.038 1
Te2 0.500 0.000 0.498 1
Pb1 0.502 0.500 0.455 1
```

=====

(3)
BaTlTe3Pb: relaxed, PBE.

## Properties
N(E_F): 6.84 states/eV/cell
VASP energy: -43.30 eV per cell
space-group type: P2_1/m
total magnetic moment: 0.00 μB/cell

CIF file:
```
data_BaTlTe3Pb
_space_group_name_H-M_alt 'P 1'
_space_group_IT_number 1
_cell_length_a 8.901
_cell_length_b 4.857
_cell_length_c 11.069
_cell_angle_alpha 90.00
_cell_angle_beta 108.19
_cell_angle_gamma 90.00
loop_
_space_group_symop_operation_xyz
'x,y,z'
loop_
_atom_site_label
_atom_site_fract_x
_atom_site_fract_y
_atom_site_fract_z
_atom_site_occupancy
Ba1 0.244 0.250 0.257 1
Ba2 0.756 0.750 0.743 1
Tl1 0.121 0.250 0.623 1
Tl2 0.879 0.750 0.377 1
Te1 0.058 0.250 0.893 1
Te2 0.270 0.750 0.512 1
Te3 0.473 0.750 0.168 1
Te4 0.527 0.250 0.832 1
Te5 0.730 0.250 0.488 1
Te6 0.942 0.750 0.107 1
Pb1 0.308 0.750 0.884 1
Pb2 0.692 0.250 0.116 1
```

=====

(4)
BaThPb2: relaxed, PBE.

## Properties
energy of formation: -1.516 eV/f.u.
N(E_F): 4.24 states/eV/cell
VASP energy: -18.28 eV per cell
space-group type: P4/mmm
total magnetic moment: 0.00 μB/cell
relative energy among the computed polymorphs: 0.0 meV per atom

CIF file:
```
data_BaThPb2
_space_group_name_H-M_alt 'P 1'
_space_group_IT_number 1
_cell_length_a 3.734
_cell_length_b 3.734
_cell_length_c 9.659
_cell_angle_alpha 90.00
_cell_angle_beta 90.00
_cell_angle_gamma 90.00
loop_
_space_group_symop_operation_xyz
'x,y,z'
loop_
_atom_site_label
_atom_site_fract_x
_atom_site_fract_y
_atom_site_fract_z
_atom_site_occupancy
Ba1 0.000 0.000 0.000 1
Th1 0.000 0.000 0.500 1
Pb1 0.500 0.500 0.266 1
Pb2 0.500 0.500 0.734 1
```

=====

(5)
BaTh2Pb9: relaxed, PBE.

## Properties
energy of formation: -3.250 eV/f.u.
N(E_F): 8.32 states/eV/cell
VASP energy: -53.39 eV per cell
space-group type: P4/mmm
total magnetic moment: 0.00 μB/cell

CIF file:
```
data_BaTh2Pb9
_space_group_name_H-M_alt 'P 1'
_space_group_IT_number 1
_cell_length_a 4.978
_cell_length_b 4.978
_cell_length_c 14.958
_cell_angle_alpha 90.00
_cell_angle_beta 90.00
_cell_angle_gamma 90.00
loop_
_space_group_symop_operation_xyz
'x,y,z'
loop_
_atom_site_label
_atom_site_fract_x
_atom_site_fract_y
_atom_site_fract_z
_atom_site_occupancy
Ba1 0.000 0.000 0.000 1
Th1 0.000 0.000 0.341 1
Th2 0.000 0.000 0.659 1
Pb1 0.000 0.500 0.176 1
Pb2 0.000 0.500 0.500 1
Pb3 0.000 0.500 0.824 1
Pb4 0.500 0.000 0.176 1
Pb5 0.500 0.000 0.500 1
Pb6 0.500 0.000 0.824 1
Pb7 0.500 0.500 0.000 1
Pb8 0.500 0.500 0.336 1
Pb9 0.500 0.500 0.664 1
```

=====

(6)
BaThPb2: relaxed, PBE.

## Properties
energy of formation: -0.916 eV/f.u.
N(E_F): 4.14 states/eV/cell
VASP energy: -17.67 eV per cell
space-group type: R-3m
total magnetic moment: 0.00 μB/cell
relative energy among the computed polymorphs: 150.1 meV per atom

CIF file:
```
data_BaThPb2
_space_group_name_H-M_alt 'P 1'
_space_group_IT_number 1
_cell_length_a 7.445
_cell_length_b 7.445
_cell_length_c 7.445
_cell_angle_alpha 40.60
_cell_angle_beta 40.60
_cell_angle_gamma 40.60
loop_
_space_group_symop_operation_xyz
'x,y,z'
loop_
_atom_site_label
_atom_site_fract_x
_atom_site_fract_y
_atom_site_fract_z
_atom_site_occupancy
Ba1 0.000 0.000 0.000 1
Th1 0.500 0.500 0.500 1
Pb1 0.231 0.231 0.231 1
Pb2 0.769 0.769 0.769 1
```

=====

(7)
BaThPb2: relaxed, PBE.

## Properties
energy of formation: -1.198 eV/f.u.
N(E_F): 3.54 states/eV/cell
VASP energy: -17.96 eV per cell
space-group type: P4/mmm
total magnetic moment: 0.00 μB/cell
relative energy among the computed polymorphs: 79.5 meV per atom

CIF file:
```
data_BaThPb2
_space_group_name_H-M_alt 'P 1'
_space_group_IT_number 1
_cell_length_a 6.213
_cell_length_b 6.213
_cell_length_c 3.467
_cell_angle_alpha 90.00
_cell_angle_beta 90.00
_cell_angle_gamma 90.00
loop_
_space_group_symop_operation_xyz
'x,y,z'
loop_
_atom_site_label
_atom_site_fract_x
_atom_site_fract_y
_atom_site_fract_z
_atom_site_occupancy
Ba1 0.000 0.000 0.000 1
Th1 0.500 0.500 0.000 1
Pb1 0.000 0.500 0.500 1
Pb2 0.500 0.000 0.500 1
```

=====

(8)
BaThPb6: relaxed, PBE.

## Properties
energy of formation: -2.341 eV/f.u.
N(E_F): 4.17 states/eV/cell
VASP energy: -33.93 eV per cell
space-group type: P4/mmm
total magnetic moment: 0.00 μB/cell

CIF file:
```
data_BaThPb6
_space_group_name_H-M_alt 'P 1'
_space_group_IT_number 1
_cell_length_a 5.005
_cell_length_b 5.005
_cell_length_c 10.088
_cell_angle_alpha 90.00
_cell_angle_beta 90.00
_cell_angle_gamma 90.00
loop_
_space_group_symop_operation_xyz
'x,y,z'
loop_
_atom_site_label
_atom_site_fract_x
_atom_site_fract_y
_atom_site_fract_z
_atom_site_occupancy
Ba1 0.000 0.000 0.000 1
Th1 0.000 0.000 0.500 1
Pb1 0.000 0.500 0.259 1
Pb2 0.000 0.500 0.741 1
Pb3 0.500 0.000 0.259 1
Pb4 0.500 0.000 0.741 1
Pb5 0.500 0.500 0.000 1
Pb6 0.500 0.500 0.500 1
```

=====

(9)
Ba2TiPb2: relaxed, PBE.

## Properties
energy of formation: -0.454 eV/f.u.
N(E_F): 11.26 states/eV/cell
VASP energy: -39.22 eV per cell
space-group type: P4/mbm
total magnetic moment: 0.10 μB/cell

CIF file:
```
data_Ba2TiPb2
_space_group_name_H-M_alt 'P 1'
_space_group_IT_number 1
_cell_length_a 7.958
_cell_length_b 7.958
_cell_length_c 5.591
_cell_angle_alpha 90.00
_cell_angle_beta 90.00
_cell_angle_gamma 90.00
loop_
_space_group_symop_operation_xyz
'x,y,z'
loop_
_atom_site_label
_atom_site_fract_x
_atom_site_fract_y
_atom_site_fract_z
_atom_site_occupancy
Ba1 0.167 0.333 0.000 1
Ba2 0.333 0.833 0.000 1
Ba3 0.667 0.167 0.000 1
Ba4 0.833 0.667 0.000 1
Ti1 0.000 0.000 0.500 1
Ti2 0.500 0.500 0.500 1
Pb1 0.145 0.645 0.500 1
Pb2 0.355 0.145 0.500 1
Pb3 0.645 0.855 0.500 1
Pb4 0.855 0.355 0.500 1
```

=====

(10)
BaTi2Pb2: relaxed, PBE.

## Properties
energy of formation: 0.175 eV/f.u.
N(E_F): 11.21 states/eV/cell
VASP energy: -49.91 eV per cell
space-group type: P4/mbm
total magnetic moment: 1.14 μB/cell
relative energy among the computed polymorphs: 116.0 meV per atom

CIF file:
```
data_BaTi2Pb2
_space_group_name_H-M_alt 'P 1'
_space_group_IT_number 1
_cell_length_a 8.854
_cell_length_b 8.854
_cell_length_c 3.249
_cell_angle_alpha 90.00
_cell_angle_beta 90.00
_cell_angle_gamma 90.00
loop_
_space_group_symop_operation_xyz
'x,y,z'
loop_
_atom_site_label
_atom_site_fract_x
_atom_site_fract_y
_atom_site_fract_z
_atom_site_occupancy
Ba1 0.000 0.000 0.000 1
Ba2 0.500 0.500 0.000 1
Ti1 0.110 0.390 0.000 1
Ti2 0.390 0.890 0.000 1
Ti3 0.610 0.110 0.000 1
Ti4 0.890 0.610 0.000 1
Pb1 0.175 0.675 0.500 1
Pb2 0.325 0.175 0.500 1
Pb3 0.675 0.825 0.500 1
Pb4 0.825 0.325 0.500 1
```

=====

(11)
BaTi3Pb: relaxed, PBE.

## Properties
energy of formation: 4.824 eV/f.u.
N(E_F): 7.32 states/eV/cell
VASP energy: -24.49 eV per cell
space-group type: Pm-3m
total magnetic moment: 7.04 μB/cell
relative energy among the computed polymorphs: 0.0 meV per atom

CIF file:
```
data_BaTi3Pb
_space_group_name_H-M_alt 'P 1'
_space_group_IT_number 1
_cell_length_a 5.420
_cell_length_b 5.420
_cell_length_c 5.420
_cell_angle_alpha 90.00
_cell_angle_beta 90.00
_cell_angle_gamma 90.00
loop_
_space_group_symop_operation_xyz
'x,y,z'
loop_
_atom_site_label
_atom_site_fract_x
_atom_site_fract_y
_atom_site_fract_z
_atom_site_occupancy
Ba1 0.000 0.000 0.000 1
Ti1 0.000 0.500 0.500 1
Ti2 0.500 0.000 0.500 1
Ti3 0.500 0.500 0.000 1
Pb1 0.500 0.500 0.500 1
```

=====

(12)
BaTi3Pb: relaxed, PBE.

## Properties
energy of formation: 8.169 eV/f.u.
N(E_F): 7.39 states/eV/cell
VASP energy: -21.15 eV per cell
space-group type: Pm-3m
total magnetic moment: 0.36 μB/cell
relative energy among the computed polymorphs: 668.9 meV per atom

CIF file:
```
data_BaTi3Pb
_space_group_name_H-M_alt 'P 1'
_space_group_IT_number 1
_cell_length_a 5.020
_cell_length_b 5.020
_cell_length_c 5.020
_cell_angle_alpha 90.00
_cell_angle_beta 90.00
_cell_angle_gamma 90.00
loop_
_space_group_symop_operation_xyz
'x,y,z'
loop_
_atom_site_label
_atom_site_fract_x
_atom_site_fract_y
_atom_site_fract_z
_atom_site_occupancy
Ba1 0.000 0.000 0.000 1
Ti1 0.000 0.000 0.500 1
Ti2 0.000 0.500 0.000 1
Ti3 0.500 0.000 0.000 1
Pb1 0.500 0.500 0.500 1
```

=====

(13)
BaTiPb2: relaxed, PBE.

## Properties
energy of formation: 0.464 eV/f.u.
N(E_F): 8.27 states/eV/cell
VASP energy: -33.54 eV per cell
space-group type: I-42d
total magnetic moment: 0.60 μB/cell

CIF file:
```
data_BaTiPb2
_space_group_name_H-M_alt 'P 1'
_space_group_IT_number 1
_cell_length_a 9.883
_cell_length_b 9.883
_cell_length_c 9.883
_cell_angle_alpha 144.26
_cell_angle_beta 144.26
_cell_angle_gamma 51.44
loop_
_space_group_symop_operation_xyz
'x,y,z'
loop_
_atom_site_label
_atom_site_fract_x
_atom_site_fract_y
_atom_site_fract_z
_atom_site_occupancy
Ba1 0.000 0.000 0.000 1
Ba2 0.750 0.250 0.500 1
Ti1 0.250 0.750 0.500 1
Ti2 0.500 0.500 0.000 1
Pb1 0.289 0.625 0.164 1
Pb2 0.375 0.539 0.664 1
Pb3 0.461 0.125 0.836 1
Pb4 0.875 0.711 0.336 1
```

=====

(14)
Ba2TiPb: relaxed, PBE.

## Properties
energy of formation: 2.133 eV/f.u.
N(E_F): 7.96 states/eV/cell
VASP energy: -26.63 eV per cell
space-group type: I-42d
total magnetic moment: 0.25 μB/cell

CIF file:
```
data_Ba2TiPb
_space_group_name_H-M_alt 'P 1'
_space_group_IT_number 1
_cell_length_a 7.400
_cell_length_b 7.400
_cell_length_c 7.400
_cell_angle_alpha 101.15
_cell_angle_beta 101.15
_cell_angle_gamma 127.81
loop_
_space_group_symop_operation_xyz
'x,y,z'
loop_
_atom_site_label
_atom_site_fract_x
_atom_site_fract_y
_atom_site_fract_z
_atom_site_occupancy
Ba1 0.106 0.625 0.981 1
Ba2 0.375 0.356 0.481 1
Ba3 0.644 0.125 0.019 1
Ba4 0.875 0.894 0.519 1
Ti1 0.000 0.000 0.000 1
Ti2 0.750 0.250 0.500 1
Pb1 0.250 0.750 0.500 1
Pb2 0.500 0.500 0.000 1
```

=====

(15)
BaTiPb3: relaxed, PBE.

## Properties
energy of formation: 7.283 eV/f.u.
N(E_F): 10.08 states/eV/cell
VASP energy: -13.66 eV per cell
space-group type: Pm-3m
total magnetic moment: 0.00 μB/cell
relative energy among the computed polymorphs: 1676.8 meV per atom

CIF file:
```
data_BaTiPb3
_space_group_name_H-M_alt 'P 1'
_space_group_IT_number 1
_cell_length_a 6.093
_cell_length_b 6.093
_cell_length_c 6.093
_cell_angle_alpha 90.00
_cell_angle_beta 90.00
_cell_angle_gamma 90.00
loop_
_space_group_symop_operation_xyz
'x,y,z'
loop_
_atom_site_label
_atom_site_fract_x
_atom_site_fract_y
_atom_site_fract_z
_atom_site_occupancy
Ba1 0.000 0.000 0.000 1
Ti1 0.500 0.500 0.500 1
Pb1 0.000 0.000 0.500 1
Pb2 0.000 0.500 0.000 1
Pb3 0.500 0.000 0.000 1
```

=====

(16)
BaTi2Pb: relaxed, PBE.

## Properties
energy of formation: 1.925 eV/f.u.
N(E_F): 10.89 states/eV/cell
VASP energy: -38.99 eV per cell
space-group type: I-42d
total magnetic moment: 0.00 μB/cell

CIF file:
```
data_BaTi2Pb
_space_group_name_H-M_alt 'P 1'
_space_group_IT_number 1
_cell_length_a 10.974
_cell_length_b 10.974
_cell_length_c 10.974
_cell_angle_alpha 153.80
_cell_angle_beta 153.80
_cell_angle_gamma 37.39
loop_
_space_group_symop_operation_xyz
'x,y,z'
loop_
_atom_site_label
_atom_site_fract_x
_atom_site_fract_y
_atom_site_fract_z
_atom_site_occupancy
Ba1 0.000 0.000 0.000 1
Ba2 0.750 0.250 0.500 1
Ti1 0.361 0.625 0.236 1
Ti2 0.375 0.611 0.736 1
Ti3 0.389 0.125 0.764 1
Ti4 0.875 0.639 0.264 1
Pb1 0.250 0.750 0.500 1
Pb2 0.500 0.500 0.000 1
```

=====

(17)
BaTiPb3: relaxed, PBE.

## Properties
energy of formation: -1.101 eV/f.u.
N(E_F): 2.93 states/eV/cell
VASP energy: -22.04 eV per cell
space-group type: Pm-3m
total magnetic moment: 0.00 μB/cell
relative energy among the computed polymorphs: 0.0 meV per atom

CIF file:
```
data_BaTiPb3
_space_group_name_H-M_alt 'P 1'
_space_group_IT_number 1
_cell_length_a 5.495
_cell_length_b 5.495
_cell_length_c 5.495
_cell_angle_alpha 90.00
_cell_angle_beta 90.00
_cell_angle_gamma 90.00
loop_
_space_group_symop_operation_xyz
'x,y,z'
loop_
_atom_site_label
_atom_site_fract_x
_atom_site_fract_y
_atom_site_fract_z
_atom_site_occupancy
Ba1 0.000 0.000 0.000 1
Ti1 0.500 0.500 0.500 1
Pb1 0.000 0.500 0.500 1
Pb2 0.500 0.000 0.500 1
Pb3 0.500 0.500 0.000 1
```

=====

(18)
BaTi2Pb2: relaxed, PBE.

## Properties
energy of formation: -0.406 eV/f.u.
N(E_F): 3.10 states/eV/cell
VASP energy: -25.53 eV per cell
space-group type: I4/mmm
total magnetic moment: 2.00 μB/cell
relative energy among the computed polymorphs: 0.0 meV per atom

CIF file:
```
data_BaTi2Pb2
_space_group_name_H-M_alt 'P 1'
_space_group_IT_number 1
_cell_length_a 7.485
_cell_length_b 7.485
_cell_length_c 7.485
_cell_angle_alpha 143.82
_cell_angle_beta 143.82
_cell_angle_gamma 52.10
loop_
_space_group_symop_operation_xyz
'x,y,z'
loop_
_atom_site_label
_atom_site_fract_x
_atom_site_fract_y
_atom_site_fract_z
_atom_site_occupancy
Ba1 0.000 0.000 0.000 1
Ti1 0.250 0.750 0.500 1
Ti2 0.750 0.250 0.500 1
Pb1 0.374 0.374 0.000 1
Pb2 0.626 0.626 0.000 1
```

=====

(19)
BaTiTlPb2: relaxed, PBE.

## Properties
energy of formation: -1.025 eV/f.u.
N(E_F): 2.22 states/eV/cell
VASP energy: -20.63 eV per cell
space-group type: P4/mmm
total magnetic moment: 0.00 μB/cell

CIF file:
```
data_BaTiTlPb2
_space_group_name_H-M_alt 'P 1'
_space_group_IT_number 1
_cell_length_a 5.473
_cell_length_b 5.473
_cell_length_c 5.490
_cell_angle_alpha 90.00
_cell_angle_beta 90.00
_cell_angle_gamma 90.00
loop_
_space_group_symop_operation_xyz
'x,y,z'
loop_
_atom_site_label
_atom_site_fract_x
_atom_site_fract_y
_atom_site_fract_z
_atom_site_occupancy
Ba1 0.000 0.000 0.000 1
Ti1 0.500 0.500 0.500 1
Tl1 0.500 0.500 0.000 1
Pb1 0.000 0.500 0.500 1
Pb2 0.500 0.000 0.500 1
```

=====

(20)
BaTiTl2Pb: relaxed, PBE.

## Properties
energy of formation: -0.762 eV/f.u.
N(E_F): 3.36 states/eV/cell
VASP energy: -19.02 eV per cell
space-group type: P4/mmm
total magnetic moment: 0.00 μB/cell

CIF file:
```
data_BaTiTl2Pb
_space_group_name_H-M_alt 'P 1'
_space_group_IT_number 1
_cell_length_a 5.454
_cell_length_b 5.454
_cell_length_c 5.433
_cell_angle_alpha 90.00
_cell_angle_beta 90.00
_cell_angle_gamma 90.00
loop_
_space_group_symop_operation_xyz
'x,y,z'
loop_
_atom_site_label
_atom_site_fract_x
_atom_site_fract_y
_atom_site_fract_z
_atom_site_occupancy
Ba1 0.000 0.000 0.000 1
Ti1 0.500 0.500 0.500 1
Tl1 0.000 0.500 0.500 1
Tl2 0.500 0.000 0.500 1
Pb1 0.500 0.500 0.000 1
```

=====

Computed values of calculated volume (unit: Å³ per atom) for the preceding records, in sequence: 38.76, 40.87, 37.88, 33.66, 30.89, 39.41, 33.45, 31.59, 35.41, 25.47, 31.85, 25.30, 40.94, 35.94, 45.25, 32.15, 33.19, 29.06, 32.89, 32.32.